A plane-wave DFT calculation with PBE was carried out for a relaxed structure of P2PtBr.

## Properties
Fermi-level density of states = 0.6451 states/eV per atom
ΔE_f (raw) = 0.93 eV/f.u.
ΔE to the lowest computed polymorph = 0.485 eV/atom
Volume = 22.3 A^3/atom

Cell lengths 3.243, 3.243, 8.476 Å; angles 90.00, 90.00, 90.00 degrees
Atoms (fractional coordinates):
Br1 0.500 0.500 0.750
P1 0.000 0.000 0.113
P2 0.000 0.000 0.387
Pt1 0.500 0.500 0.250

A plane-wave DFT calculation with PBE was carried out for a relaxed structure of P2PtBr.

## Properties
Fermi-level density of states = 0.5165 states/eV per atom
ΔE_f (raw) = 3.24 eV/f.u.
ΔE to the lowest computed polymorph = 1.065 eV/atom
Volume = 18.7 A^3/atom

Cell lengths 6.150, 6.150, 2.727 Å; angles 90.00, 90.00, 133.43 degrees
Atoms (fractional coordinates):
Br1 0.000 0.500 0.500
P1 0.000 0.000 0.000
P2 0.500 0.500 0.000
Pt1 0.500 0.000 0.500

A plane-wave DFT calculation with PBE was carried out for a relaxed structure of Rb2PPtBr.

## Properties
Fermi-level density of states = 0.4404 states/eV per atom
ΔE_f (raw) = -3.90 eV/f.u.
ΔE to the lowest computed polymorph = 0.019 eV/atom
Volume = 38.1 A^3/atom

Cell lengths 6.626, 6.626, 4.343 Å; angles 90.00, 90.00, 90.00 degrees
Atoms (fractional coordinates):
P1 0.000 0.000 0.000
Br1 0.500 0.500 0.500
Rb1 0.000 0.500 0.000
Rb2 0.500 0.000 0.000
Pt1 0.000 0.000 0.500

A plane-wave DFT calculation with PBE was carried out for a relaxed structure of Rb2PPtBr.

## Properties
Fermi-level density of states = 0.5171 states/eV per atom
ΔE_f (raw) = -4.00 eV/f.u.
ΔE to the lowest computed polymorph = 0.000 eV/atom
Volume = 38.3 A^3/atom

Cell lengths 6.625, 6.625, 4.358 Å; angles 90.00, 90.00, 90.00 degrees
Atoms (fractional coordinates):
P1 0.000 0.000 0.500
Br1 0.500 0.500 0.500
Rb1 0.000 0.500 0.000
Rb2 0.500 0.000 0.000
Pt1 0.000 0.000 0.000